Model a:
A relaxed structure of MnTePd4. Source: Alexandria via LeMat-Bulk, functional GGA-PBE.

a = 5.2543 Å, b = 7.9252 Å, c = 5.2235 Å
α = 90.00°, β = 114.30°, γ = 90.00°
With the nearest neighbours (Å) after each atom.
Space group P2_1/c (No. 14)
Asymmetric unit:
Mn: 0.0000 0.0000 0.0000 [2 per cell]  6 Pd 2.68-2.71, 2 Te 2.84
Te: 0.5000 0.0000 0.5000 [2 per cell]  6 Pd 2.68-2.72, 2 Mn 2.84
Pd: 0.1072 0.1659 0.6015 [4 per cell]  1 Te 2.68, 2 Mn 2.71, 7 Pd 2.82-2.95
Pd: 0.3901 0.6657 0.3926 [4 per cell]  1 Mn 2.68, 2 Te 2.69-2.72, 7 Pd 2.82-2.95

## Properties
- Crystal system: monoclinic

Model b:
A relaxed structure of MnTePd4. Source: Alexandria via LeMat-Bulk, functional GGA-PBE.

a = 4.3024 Å, b = 4.3024 Å, c = 21.2682 Å
α = 90.00°, β = 90.00°, γ = 120.00°
With the nearest neighbours (Å) after each atom.
Space group R-3m (No. 166, hexagonal axes)
Asymmetric unit:
Mn: 0.0000 0.0000 0.0000 [3 per cell]  8 Pd 2.57-2.63
Te: 0.0000 0.0000 0.5000 [3 per cell]  8 Pd 2.67-2.69
Pd: 0.0000 0.0000 0.1209 [6 per cell]  1 Mn 2.57, 3 Te 2.67
Pd: 0.0000 0.0000 0.3735 [6 per cell]  3 Mn 2.63, 1 Te 2.69

## Properties
- Crystal system: trigonal

Q: Which of them is the most stable? A: model a.

Model a:
A relaxed structure of Mn2TePd2. Source: Alexandria via LeMat-Bulk, functional GGA-PBE.

a = 6.3797 Å, b = 6.3797 Å, c = 3.9827 Å
α = 90.00°, β = 90.00°, γ = 90.00°
With the nearest neighbours (Å) after each atom.
Space group P4/mbm (No. 127)
Asymmetric unit:
Mn: 0.1186 0.3814 0.0000 [4 per cell]  1 Mn 2.14
Te: 0.0000 0.0000 0.0000 [2 per cell]  4 Mn 2.55
Pd: 0.1606 0.6606 0.5000 [4 per cell]  6 Mn 2.69-2.82, 1 Pd 2.90

## Properties
- Crystal system: tetragonal

Model b:
A relaxed structure of Mn2TePd2. Source: Alexandria via LeMat-Bulk, functional GGA-PBE.

a = 3.8440 Å, b = 3.8440 Å, c = 12.8502 Å
α = 90.00°, β = 90.00°, γ = 90.00°
With the nearest neighbours (Å) after each atom.
Space group I4/mmm (No. 139)
Asymmetric unit:
Mn: 0.0000 0.0000 0.1116 [4 per cell]  4 Pd 2.62, 1 Mn 2.87
Te: 0.0000 0.0000 0.5000 [2 per cell]  8 Mn 3.07
Pd: 0.0000 0.5000 0.2500 [4 per cell]  4 Mn 2.62, 4 Pd 2.72

## Properties
- Crystal system: tetragonal

Q: Which of them is the most stable? A: model b.

Model a:
A relaxed structure of Mn2TePd8. Source: Alexandria via LeMat-Bulk, functional GGA-PBE.

a = 4.5400 Å, b = 5.8005 Å, c = 13.8126 Å
α = 90.00°, β = 90.00°, γ = 90.00°
With the nearest neighbours (Å) after each atom.
Space group Immm (No. 71)
Asymmetric unit:
Mn: 0.0000 0.0000 0.1861 [4 per cell]  12 Pd 2.70-2.92
Te: 0.0000 0.0000 0.5000 [2 per cell]  8 Pd 2.56-2.73
Pd: 0.0000 0.2376 0.0000 [4 per cell]  2 Te 2.73, 8 Pd 2.76-3.06, 2 Mn 2.92
Pd: 0.0000 0.2639 0.3518 [8 per cell]  1 Te 2.56, 3 Mn 2.70-2.75, 4 Pd 2.73-2.77
Pd: 0.0000 0.5000 0.1809 [4 per cell]  8 Pd 2.73-2.93, 4 Mn 2.90-2.92

## Properties
- Crystal system: orthorhombic

Model b:
A relaxed structure of Mn2TePd8. Source: Alexandria via LeMat-Bulk, functional GGA-PBE.

a = 14.2228 Å, b = 4.0936 Å, c = 6.1955 Å
α = 90.00°, β = 104.49°, γ = 90.00°
With the nearest neighbours (Å) after each atom.
Space group C2/m (No. 12)
Asymmetric unit:
Mn: 0.2212 0.0000 0.1507 [4 per cell]  10 Pd 2.64-2.84
Te: 0.0000 0.5000 0.5000 [2 per cell]  8 Pd 2.71-2.85
Pd: 0.0426 0.0000 0.2319 [4 per cell]  1 Mn 2.71, 2 Te 2.80, 9 Pd 2.83-3.00
Pd: 0.0971 0.5000 0.9624 [4 per cell]  3 Mn 2.76-2.84, 8 Pd 2.77-2.91, 1 Te 2.85
Pd: 0.1533 0.0000 0.7131 [4 per cell]  3 Mn 2.64-2.71, 6 Pd 2.71-2.89
Pd: 0.1787 0.5000 0.4184 [4 per cell]  3 Mn 2.69-2.79, 8 Pd 2.71-2.88, 1 Te 2.71

## Properties
- Crystal system: monoclinic

Q: Which of them is the most stable? A: model b.